Density functional theory data (PBE) for crystalline CsRbAu2 at its relaxed geometry.

a b c (Å): 4.981 5.039 6.814
angles (deg): 90.00 111.44 90.00
Fractional positions:
Cs1 0.725 0.000 0.989
Rb1 0.444 0.500 0.428
Au1 0.145 0.500 0.829
Au2 0.016 0.000 0.572

Mass density   6.387 g/cm³
DOS(E_F)   0.005 states/eV per atom
Space-group type   Amm2, No. 38
Offset from the most stable computed form   0 meV/atom